Here is a relaxed structure of Sm4Ge2Cl3 from the Alexandria database. Energies are from PBE.

a = 4.199 Å, b = 4.199 Å, c = 16.825 Å
α = 90.15°, β = 90.15°, γ = 60.01°
Atoms (fractional coordinates):
1 Sm 0.002 0.002 0.302
2 Sm 0.334 0.334 0.110
3 Sm 0.666 0.666 0.890
4 Sm 0.998 0.998 0.698
5 Ge 0.332 0.332 0.798
6 Ge 0.668 0.668 0.202
7 Cl 0.000 0.000 0.000
8 Cl 0.336 0.336 0.395
9 Cl 0.664 0.664 0.605

Properties
* total energy: -46.8 eV per formula unit
* density: 5.5 Mg/m³
* magnetic moment: 0.00 μB/f.u.
* formation energy (no corrections): -1465 meV per atom
* space-group type: No. 12